No. 1
Computed, not measured: crystalline YGeSbTe2 at its relaxed geometry at the PBE level of DFT.

Summary:
Magnetic moment ... 0.0 Bohr magnetons per cell
SG ... P4/mmm
N(E_F) ... 5.6 states/eV/cell
Distance to the lowest polymorph of the same formula ... 259 meV/atom
Formation energy without anion corrections ... 26 kJ/mol of atoms
Volume ... 194.5 Å³/cell

```
YGeSbTe2
1.0
5.7748 0.0000 0.0000
0.0000 5.7748 0.0000
0.0000 0.0000 5.8319
Ge Te Y Sb
1 2 1 1
Cartesian
2.8874 2.8874 2.9159
2.8874 0.0000 0.0000
0.0000 2.8874 0.0000
0.0000 0.0000 0.0000
0.0000 0.0000 2.9159
```

***

No. 2
Computed, not measured: crystalline Y6Ge2SbTe3 at its relaxed geometry at the PBE level of DFT.

Summary:
Magnetic moment ... 0.0 Bohr magnetons per cell
SG ... C2/m
N(E_F) ... 2.4 states/eV/cell
Formation energy without anion corrections ... -121 kJ/mol of atoms
Volume ... 342.1 Å³/cell

```
Y6Ge2SbTe3
1.0
4.2939 0.0000 0.0000
0.0000 8.6930 0.2752
-2.1470 -2.5403 9.0846
Y Ge Te Sb
6 2 3 1
Cartesian
2.1470 4.0310 9.0944
0.0000 2.1217 0.2653
2.1470 4.0482 3.3162
0.0000 2.1045 6.0436
0.0000 6.0554 6.2873
2.1470 0.0974 3.0725
2.1470 4.0908 6.2195
0.0000 2.0619 3.1403
2.1470 4.3465 0.1376
0.0000 6.4186 3.1974
2.1470 -0.2659 6.1624
2.1470 0.0000 0.0000
```

***

No. 3
Computed, not measured: crystalline YGeSbTe2 at its relaxed geometry at the PBE level of DFT.

Summary:
Magnetic moment ... 0.0 Bohr magnetons per cell
SG ... P4/mmm
N(E_F) ... 2.0 states/eV/cell
Distance to the lowest polymorph of the same formula ... 0 meV/atom
Formation energy without anion corrections ... 1 kJ/mol of atoms
Volume ... 153.3 Å³/cell

```
YGeSbTe2
1.0
-2.7017 -4.4175 -1.4204
2.2768 0.1701 -4.8599
4.0049 -3.0187 1.7706
Ge Te Sb Y
1 2 1 1
Cartesian
0.0000 0.0000 0.0000
1.1384 0.0851 -2.4299
-1.3509 -2.2088 -0.7102
2.0025 -1.5093 0.8853
1.7900 -3.6331 -2.2548
```

***

No. 4
Computed, not measured: crystalline YGeSb2Te at its relaxed geometry at the PBE level of DFT.

Summary:
Magnetic moment ... 0.0 Bohr magnetons per cell
SG ... P4/mmm
N(E_F) ... 5.3 states/eV/cell
Distance to the lowest polymorph of the same formula ... 319 meV/atom
Formation energy without anion corrections ... 43 kJ/mol of atoms
Volume ... 192.0 Å³/cell

```
YGeSb2Te
1.0
-2.9189 0.9387 4.8920
4.7959 -1.0028 3.0540
1.3431 5.5946 -0.2721
Sb Te Y Ge
2 1 1 1
Cartesian
2.3980 -0.5014 1.5270
-1.4595 0.4693 2.4460
0.6715 2.7973 -0.1360
0.0000 0.0000 0.0000
1.6100 2.7652 3.8370
```

***

No. 5
Computed, not measured: crystalline ZnGeSbTe2 at its relaxed geometry at the PBE level of DFT.

Summary:
Magnetic moment ... 0.0 Bohr magnetons per cell
SG ... P4/mmm
N(E_F) ... 4.1 states/eV/cell
Distance to the lowest polymorph of the same formula ... 0 meV/atom
Formation energy without anion corrections ... 53 kJ/mol of atoms
Volume ... 145.9 Å³/cell

```
ZnGeSbTe2
1.0
-4.8669 -1.4451 -1.6473
1.5033 -5.1211 0.0508
-1.5298 -0.4008 4.8715
Te Sb Ge Zn
2 1 1 1
Cartesian
0.7517 -2.5606 0.0254
-2.4335 -0.7225 -0.8236
-0.7649 -0.2004 2.4357
-2.4467 -3.4835 1.6375
0.0000 0.0000 0.0000
```

***

No. 6
Computed, not measured: crystalline ZrGeSb2Te at its relaxed geometry at the PBE level of DFT.

Summary:
Magnetic moment ... 0.0 Bohr magnetons per cell
SG ... P4/mmm
N(E_F) ... 4.2 states/eV/cell
Distance to the lowest polymorph of the same formula ... 222 meV/atom
Formation energy without anion corrections ... 61 kJ/mol of atoms
Volume ... 144.7 Å³/cell

```
ZrGeSb2Te
1.0
-4.5436 1.5637 -2.0699
-2.4578 -1.2592 4.4438
0.8385 4.8811 1.8468
Ge Sb Te Zr
1 2 1 1
Cartesian
0.0000 0.0000 0.0000
-1.2289 -0.6296 2.2219
-2.2718 0.7818 -1.0350
0.4192 2.4406 0.9234
-3.0815 2.5928 2.1104
```

***

No. 7
Computed, not measured: crystalline ZrGeSb2Te at its relaxed geometry at the PBE level of DFT.

Summary:
Magnetic moment ... 0.0 Bohr magnetons per cell
SG ... P4/mmm
N(E_F) ... 5.1 states/eV/cell
Distance to the lowest polymorph of the same formula ... 0 meV/atom
Formation energy without anion corrections ... 39 kJ/mol of atoms
Volume ... 170.9 Å³/cell

```
ZrGeSb2Te
1.0
5.5779 0.0000 0.0000
0.0000 5.5779 0.0000
0.0000 0.0000 5.4936
Sb Zr Te Ge
2 1 1 1
Cartesian
2.7890 0.0000 0.0000
0.0000 2.7890 0.0000
0.0000 0.0000 0.0000
0.0000 0.0000 2.7468
2.7890 2.7890 2.7468
```

***

No. 8
Computed, not measured: crystalline Th3GeSb2 at its relaxed geometry at the PBE level of DFT.

Summary:
Magnetic moment ... 0.0 Bohr magnetons per cell
SG ... C2/c
N(E_F) ... 7.5 states/eV/cell
Distance to the lowest polymorph of the same formula ... 12 meV/atom
Formation energy without anion corrections ... -85 kJ/mol of atoms
Volume ... 372.0 Å³/cell

```
Th3GeSb2
1.0
7.6587 0.2071 0.3567
-1.4819 7.5426 -0.2467
-1.4819 -3.9535 6.4282
Ge Sb Th
2 4 6
Cartesian
0.4328 2.8580 2.5925
4.2621 0.9382 3.9457
4.2621 -2.8591 6.1505
0.4328 6.6553 0.3877
0.4328 -1.1131 4.8982
4.2621 4.9093 1.6400
5.4706 3.6986 4.3360
-0.7409 3.7713 -0.1234
3.0536 1.9677 1.3549
3.0884 -1.8732 3.3925
1.6413 1.8285 5.1833
-0.7757 0.0976 2.2022
```